# In6HgPd12

In6HgPd12 after structural relaxation (PBE, the Alexandria database).

## Properties
D(E_F)	0.49	states/eV/atom
size of the total moment	0.000	μB per cell
ΔE_f	-0.369	eV per atom

Structure (POSCAR):
```
In6HgPd12
1.0
5.9991 3.4636 2.7874
-5.9991 3.4636 2.7874
0.0000 -6.9271 2.7874
In Hg Pd
6 1 12
Cartesian
-1.5769 -1.7450 2.0306 In
-0.7227 2.2381 2.0306 In
2.2997 -0.4932 2.0306 In
-2.2997 0.4932 6.3316 In
0.7227 -2.2381 6.3316 In
1.5769 1.7450 6.3317 In
0.0000 0.0000 4.1811 Hg
-5.3229 1.0164 3.4621 Pd
-3.5417 -4.1016 4.9001 Pd
-2.6353 0.4961 3.5391 Pd
1.7812 -5.1180 3.4621 Pd
-1.7473 -2.0342 4.8231 Pd
0.8880 -2.5303 3.5391 Pd
-0.8880 2.5303 4.8232 Pd
1.7473 2.0342 3.5391 Pd
-1.7812 5.1180 4.9001 Pd
2.6353 -0.4961 4.8232 Pd
3.5417 4.1016 3.4621 Pd
5.3229 -1.0164 4.9001 Pd
```



# Er2TmPaN4

Er2TmPaN4 after structural relaxation (PBE, the Alexandria database).

## Properties
D(E_F)	0.42	states/eV/atom
size of the total moment	0.003	μB per cell

Structure (POSCAR):
```
Er2TmPaN4
1.0
5.9393 0.0000 0.0000
0.0000 3.4532 0.0000
-1.9504 0.0000 5.6137
Er Tm Pa N
2 1 1 4
Cartesian
0.0000 0.0000 0.0000 Er
2.9697 1.7266 0.0000 Er
-0.9752 1.7266 2.8068 Tm
1.9945 0.0000 2.8068 Pa
1.0060 1.7266 1.4299 N
0.0709 0.0000 4.1630 N
3.9181 0.0000 1.4506 N
2.9829 1.7266 4.1838 N
```



no.,final energy (Ry/atom)
1,-0.333
2,-0.647